Entry 1:
Below is an optimized crystal structure of YTePtN2, with properties calculated at the PBE level.

Raw formation energy = 0.68 eV/atom
Offset from the most stable computed form = 0.0 meV/atom
Magnetic moment = 2.38 Bohr magnetons per cell

Lattice parameters (Å, degrees): 4.1703 4.1703 5.3904 90.00 90.00 90.00
Space group P4/mmm (No. 123)
Inequivalent atoms, fractional coordinates:
Y 0.0000 0.0000 0.0000
Te 0.5000 0.5000 0.0000
Pt 0.5000 0.5000 0.5000
N 0.0000 0.5000 0.5000

=====

Entry 2:
Below is an optimized crystal structure of Pr8Sm3Tl, with properties calculated at the PBE level.

Energy relative to the elements = 5.1 eV per formula unit
Magnetic moment = 0.00 Bohr magnetons per cell

Lattice parameters (Å, degrees): 8.8158 8.8158 11.7416 90.00 90.00 90.00
Space group I-42m (No. 121)
Inequivalent atoms, fractional coordinates:
Pr 0.1278 0.1278 0.2528
Pr 0.2463 0.2463 0.5164
Sm 0.0000 0.0000 0.5000
Sm 0.0000 0.5000 0.2500
Tl 0.0000 0.0000 0.0000

=====

Entry 3:
Below is an optimized crystal structure of KAgI3, with properties calculated at the PBE level.

Raw formation energy = -0.66 eV/atom
Magnetic moment = 0.00 Bohr magnetons per cell

Lattice parameters (Å, degrees): 6.5342 18.7533 7.7504 90.00 90.00 90.00
Space group Cmc2_1 (No. 36)
Inequivalent atoms, fractional coordinates:
K 0.0000 0.1574 0.0000
Ag 0.0000 0.4403 0.9189
I 0.0000 0.4235 0.5585
I 0.2448 0.1722 0.5654

=====

What did we get for E_tot? Answer: -5.78, -4.14, -2.38 eV per atom, in the order shown.
What did we get for V? Answer: 18.749, 38.022, 47.486 A^3/atom, in the order shown.